1.
The following is a PBE-GGA calculation of crystalline KCdP at its relaxed geometry, from Alexandria.

The formation energy comes out at 0.197 eV per atom. The volume comes out at 76.64 Å³ per cell. The space-group type is No. 107. Its total energy is -6.83 eV/cell. The total magnetic moment is 0.000 μB per formula unit.

Cell: 7.4965 7.4965 7.4965 Å, 154.74 154.74 36.03°
Last column: nearest neighbours and their distance in Å.
Positions (direct):
P 0.6525 0.6525 0.0000  4 Cd 2.91
K 0.3187 0.3187 0.0000  4 K 3.28, 4 P 3.32
Cd 0.0288 0.0288 0.0000  4 P 2.91

2.
The following is a PBE-GGA calculation of crystalline V2ZnFe at its relaxed geometry, from Alexandria.

The formation energy comes out at -0.003 eV per atom. The volume comes out at 51.16 Å³ per cell. The space-group type is No. 123. Its total energy is -27.98 eV/cell. The total magnetic moment is 0.000 μB per formula unit.

Cell: 2.7208 2.7208 6.9109 Å, 90.00 90.00 90.00°
Last column: nearest neighbours and their distance in Å.
Positions (direct):
Zn 0.5000 0.5000 0.5000  8 V 2.71, 4 Zn 2.72
V 0.0000 0.0000 0.2243  4 Fe 2.47, 4 Zn 2.71, 4 V 2.72
V 0.0000 0.0000 0.7757  4 Fe 2.47, 4 Zn 2.71, 4 V 2.72
Fe 0.5000 0.5000 0.0000  8 V 2.47, 4 Fe 2.72

3.
The following is a PBE-GGA calculation of crystalline DyLuCoNi at its relaxed geometry, from Alexandria.

The formation energy comes out at -0.312 eV per atom. The volume comes out at 72.92 Å³ per cell. The space-group type is No. 216. Its total energy is -23.26 eV/cell. The total magnetic moment is 0.001 μB per formula unit.

Cell: 4.6894 4.6894 4.6894 Å, 60.00 60.00 60.00°
Last column: nearest neighbours and their distance in Å.
Positions (direct):
Co 0.2500 0.2500 0.2500  4 Lu 2.87, 4 Dy 2.87
Dy 0.5000 0.5000 0.5000  4 Co 2.87, 4 Ni 2.87
Lu 0.0000 0.0000 0.0000  4 Co 2.87, 4 Ni 2.87
Ni 0.7500 0.7500 0.7500  4 Dy 2.87, 4 Lu 2.87

4.
The following is a PBE-GGA calculation of crystalline Sm6InAu2 at its relaxed geometry, from Alexandria.

The formation energy comes out at -0.458 eV per atom. The volume comes out at 534.08 Å³ per cell. The space-group type is No. 71. Its total energy is -83.47 eV/cell. The total magnetic moment is 0.000 μB per formula unit.

Cell: 8.8683 8.8683 8.8683 Å, 104.90 110.52 113.10°
Last column: nearest neighbours and their distance in Å.
Positions (direct):
Sm 0.8022 0.7596 0.5618  1 Au 2.99, 1 In 3.28
Sm 0.7040 0.0305 0.3265  3 Au 2.90-3.16
Sm 0.1006 0.2828 0.8178  3 Au 3.15-3.21, 1 In 3.32
Sm 0.4651 0.2828 0.1822  3 Au 3.15-3.21, 1 In 3.32
Sm 0.5349 0.7172 0.8178  3 Au 3.15-3.21, 1 In 3.32
Sm 0.2960 0.9695 0.6735  3 Au 2.90-3.16
Sm 0.1978 0.2404 0.4382  1 Au 2.99, 1 In 3.28
Sm 0.1978 0.7596 0.9574  1 Au 2.99, 1 In 3.28
Sm 0.7040 0.3775 0.6735  3 Au 2.90-3.16
Sm 0.8994 0.7172 0.1822  3 Au 3.15-3.21, 1 In 3.32
Sm 0.8022 0.2404 0.0426  1 Au 2.99, 1 In 3.28
Sm 0.2960 0.6225 0.3265  3 Au 2.90-3.16
Au 0.6558 0.0000 0.6558  8 Sm 2.99-3.21, 1 Au 3.15
Au 0.5000 0.3685 0.8685  1 Au 2.84, 6 Sm 2.90-3.15
Au 0.3442 0.0000 0.3442  8 Sm 2.99-3.21, 1 Au 3.15
Au 0.5000 0.6315 0.1315  1 Au 2.84, 6 Sm 2.90-3.15
In 0.0000 0.0000 0.0000  8 Sm 3.28-3.32, 2 Au 3.48
In 0.0000 0.5000 0.5000  12 Sm 3.45-3.85

5.
The following is a PBE-GGA calculation of crystalline VZnRu at its relaxed geometry, from Alexandria.

The formation energy comes out at 0.294 eV per atom. Its energy above the most stable polymorph in this dataset is 396 meV per atom. The volume comes out at 50.83 Å³ per cell. The space-group type is No. 47. Its total energy is -18.79 eV/cell. The total magnetic moment is 1.436 μB per formula unit.

Cell: 2.9458 3.9620 4.3549 Å, 90.00 90.00 90.00°
Last column: nearest neighbours and their distance in Å.
Positions (direct):
Ru 0.0000 0.0000 0.0000  4 V 2.47, 4 Zn 2.63
Zn 0.5000 0.0000 0.5000  4 Ru 2.63, 4 V 2.94
V 0.5000 0.5000 0.0000  4 Ru 2.47

6.
The following is a PBE-GGA calculation of crystalline Tb8Ni2Rh at its relaxed geometry, from Alexandria.

The formation energy comes out at -0.215 eV per atom. Its energy above the most stable polymorph in this dataset is 85 meV per atom. The volume comes out at 288.81 Å³ per cell. The space-group type is No. 8. Its total energy is -58.32 eV/cell. The total magnetic moment is 0.000 μB per formula unit.

Cell: 5.8886 7.5559 7.5559 Å, 115.01 99.85 99.85°
Last column: nearest neighbours and their distance in Å.
Positions (direct):
Tb 0.3881 0.6611 0.9173  2 Ni 2.74-2.76
Tb 0.9908 0.7894 0.2167  1 Rh 2.80, 1 Ni 3.14
Tb 0.5812 0.3424 0.0862  2 Ni 2.72-2.74
Tb 0.9908 0.2167 0.7894  1 Rh 2.80, 1 Ni 3.14
Tb 0.3881 0.9173 0.6611  2 Ni 2.74-2.76
Tb 0.1707 0.3667 0.3667  1 Rh 2.83, 2 Ni 3.15
Tb 0.5812 0.0862 0.3424  2 Ni 2.72-2.74
Tb 0.8181 0.6406 0.6406  1 Rh 2.91, 2 Ni 3.16
Rh 0.1040 0.0062 0.0062  4 Tb 2.80-2.91
Ni 0.4933 0.7025 0.3050  4 Tb 2.72-2.76
Ni 0.4933 0.3050 0.7025  4 Tb 2.72-2.76

7.
The following is a PBE-GGA calculation of crystalline Zn2ReRuSe at its relaxed geometry, from Alexandria.

The volume comes out at 106.70 Å³ per cell. The space-group type is No. 123. As for the formation energy (no corrections): 1326 meV/atom. Its total energy is -21.13 eV/cell. The total magnetic moment is 4.453 μB per formula unit.

Cell: 4.8495 4.5370 4.8495 Å, 90.00 90.00 90.00°
Last column: nearest neighbours and their distance in Å.
Positions (direct):
Se 0.0000 0.5000 0.0000  2 Ru 2.27
Ru 0.0000 0.0000 0.0000  2 Se 2.27, 4 Zn 2.42
Re 0.5000 0.5000 0.5000  8 Zn 3.32, 4 Se 3.43
Zn 0.5000 0.0000 0.0000  2 Ru 2.42
Zn 0.0000 0.0000 0.5000  2 Ru 2.42

8.
The following is a PBE-GGA calculation of crystalline DyYZn at its relaxed geometry, from Alexandria.

The formation energy comes out at -0.219 eV per atom. Its energy above the most stable polymorph in this dataset is 0 meV per atom. The volume comes out at 78.40 Å³ per cell. The space-group type is No. 107. Its total energy is -13.00 eV/cell. The total magnetic moment is 0.007 μB per formula unit.

Cell: 3.5837 3.5837 6.6092 Å, 105.73 105.73 90.00°
Last column: nearest neighbours and their distance in Å.
Positions (direct):
Dy 0.3094 0.3094 0.6188  4 Zn 3.07
Y 0.0230 0.0230 0.0459  4 Zn 3.09
Zn 0.6676 0.6676 0.3353  4 Dy 3.07, 4 Y 3.09

9.
The following is a PBE-GGA calculation of crystalline Zr3HgC at its relaxed geometry, from Alexandria.

The formation energy comes out at -0.117 eV per atom. Its energy above the most stable polymorph in this dataset is 387 meV per atom. The volume comes out at 205.78 Å³ per cell. The space-group type is No. 12. Its total energy is -71.51 eV/cell. The total magnetic moment is 0.000 μB per formula unit.

Cell: 23.0142 10.3123 10.3123 Å, 160.59 162.48 17.52°
Last column: nearest neighbours and their distance in Å.
Positions (direct):
C 0.1552 0.0258 0.9742  5 Zr 2.15-2.38
C 0.8448 0.9742 0.0258  5 Zr 2.15-2.38
Zr 0.2254 0.8411 0.1589  1 C 2.23
Zr 0.4936 0.3257 0.6743  1 C 2.15
Zr 0.7746 0.1589 0.8411  1 C 2.23
Zr 0.5064 0.6743 0.3257  1 C 2.15
Zr 0.9254 0.7710 0.2290  3 C 2.20-2.38
Zr 0.0746 0.2290 0.7710  3 C 2.20-2.38
Hg 0.2225 0.2166 0.7834  7 Zr 3.03-3.28, 1 Hg 3.05
Hg 0.7775 0.7834 0.2166  7 Zr 3.03-3.28, 1 Hg 3.05

10.
The following is a PBE-GGA calculation of crystalline Th6Os2CS3 at its relaxed geometry, from Alexandria.

The volume comes out at 291.77 Å³ per cell. The space-group type is No. 12. As for the formation energy (no corrections): -1045 meV/atom. Its total energy is -101.13 eV/cell. The total magnetic moment is 0.000 μB per formula unit.

Cell: 6.9603 6.9603 7.3137 Å, 99.06 99.06 119.84°
Last column: nearest neighbours and their distance in Å.
Positions (direct):
Th 0.0740 0.3945 0.2216  1 C 2.71, 2 Os 2.82-2.83, 2 S 2.99
Th 0.7542 0.7542 0.2239  1 C 2.72, 2 Os 2.83, 2 S 2.99
Th 0.2458 0.2458 0.7761  1 C 2.72, 2 Os 2.83, 2 S 2.99
Th 0.6055 0.9260 0.7784  1 C 2.71, 2 Os 2.82-2.83, 2 S 2.99
Th 0.9260 0.6055 0.7784  1 C 2.71, 2 Os 2.82-2.83, 2 S 2.99
Th 0.3945 0.0740 0.2216  1 C 2.71, 2 Os 2.82-2.83, 2 S 2.99
Os 0.6666 0.3334 0.0000  6 Th 2.82-2.83
Os 0.3334 0.6666 0.0000  6 Th 2.82-2.83
C 0.0000 0.0000 0.0000  6 Th 2.71-2.72
S 0.8321 0.1679 0.5000  6 Th 2.99-3.08
S 0.1679 0.8321 0.5000  6 Th 2.99-3.08
S 0.5000 0.5000 0.5000  6 Th 2.99-3.08

11.
The following is a PBE-GGA calculation of crystalline NaTl5CdIn2 at its relaxed geometry, from Alexandria.

The formation energy comes out at -0.003 eV per atom. The volume comes out at 522.58 Å³ per cell. The space-group type is No. 36. Its total energy is -39.14 eV/cell. The total magnetic moment is 0.000 μB per formula unit.

Cell: 3.5855 8.5824 17.3652 Å, 90.00 90.00 102.06°
Last column: nearest neighbours and their distance in Å.
Positions (direct):
Na 0.4376 0.8753 0.4083  4 Tl 3.39-3.58, 4 In 3.44-3.52, 2 Cd 3.53, 2 Na 3.59
Na 0.5624 0.1247 0.9083  4 Tl 3.39-3.58, 4 In 3.44-3.52, 2 Cd 3.53, 2 Na 3.59
In 0.1122 0.2244 0.4139  2 Cd 3.19, 5 Tl 3.31-3.39, 2 Na 3.44
In 0.8878 0.7756 0.9139  2 Cd 3.19, 5 Tl 3.31-3.39, 2 Na 3.44
In 0.0714 0.1427 0.7341  7 Tl 3.35-3.42, 2 Na 3.52, 2 In 3.59
In 0.9286 0.8573 0.2341  7 Tl 3.35-3.42, 2 Na 3.52, 2 In 3.59
Tl 0.5972 0.1943 0.2498  4 In 3.36-3.38, 7 Tl 3.47-3.61
Tl 0.2727 0.5453 0.2954  2 Cd 3.32, 3 In 3.35-3.39, 1 Na 3.39, 6 Tl 3.54-3.59
Tl 0.7273 0.4547 0.7954  2 Cd 3.32, 3 In 3.35-3.39, 1 Na 3.39, 6 Tl 3.54-3.59
Tl 0.0964 0.1929 0.0785  1 Cd 3.17, 6 Tl 3.34-3.47, 2 Na 3.50
Tl 0.4287 0.8573 0.0692  4 In 3.31-3.38, 6 Tl 3.34-3.59, 1 Na 3.58
Tl 0.2363 0.4726 0.6187  2 Cd 3.38, 9 Tl 3.40-3.61, 1 In 3.42
Tl 0.4028 0.8057 0.7498  4 In 3.36-3.38, 7 Tl 3.47-3.61
Tl 0.9036 0.8071 0.5785  1 Cd 3.17, 6 Tl 3.34-3.47, 2 Na 3.50
Tl 0.5713 0.1427 0.5692  4 In 3.31-3.38, 6 Tl 3.34-3.59, 1 Na 3.58
Tl 0.7637 0.5274 0.1187  2 Cd 3.38, 9 Tl 3.40-3.61, 1 In 3.42
Cd 0.2366 0.4732 0.9560  5 Tl 3.17-3.38, 2 In 3.19, 2 Na 3.53
Cd 0.7634 0.5268 0.4560  5 Tl 3.17-3.38, 2 In 3.19, 2 Na 3.53

12.
The following is a PBE-GGA calculation of crystalline Si2AgPt at its relaxed geometry, from Alexandria.

Its energy above the most stable polymorph in this dataset is 113 meV per atom. The volume comes out at 63.51 Å³ per cell. The space-group type is No. 99. As for the formation energy (no corrections): -11 meV/atom. Its total energy is -19.78 eV/cell. The total magnetic moment is 0.000 μB per formula unit.

Cell: 3.5267 3.5232 5.1116 Å, 90.00 90.00 90.00°
Last column: nearest neighbours and their distance in Å.
Positions (direct):
Pt 0.5000 0.5000 0.8019  5 Si 2.41-2.62
Si 0.5000 0.5000 0.2733  1 Pt 2.41, 4 Ag 2.67
Si 0.0000 0.0000 0.9624  2 Ag 2.56, 4 Pt 2.62
Ag 0.0000 0.0000 0.4623  6 Si 2.56-2.67